Density functional theory data (GGA-PBEsol) for a relaxed structure of InPt5.

Lattice parameters (Å, degrees): 4.8513 4.8513 4.6099 90.00 90.00 120.00
Space group P-62m (No. 189)
Symmetry-distinct sites (fractional):
In: 0.0000 0.0000 0.0000 [1 per cell]
Pt: 0.0000 0.6548 0.5000 [3 per cell]
Pt: 0.3333 0.6667 0.0000 [2 per cell]

Values from the calculation:
Calculated volume (Å³ per atom): 15.66
Total DFT energy (no corrections) (eV/atom): -6.49

Density functional theory data (GGA-PBEsol) for a relaxed structure of SrP3Se.

Lattice parameters (Å, degrees): 4.8256 4.8256 4.8256 90.00 90.00 90.00
Space group Pm-3m (No. 221)
Symmetry-distinct sites (fractional):
Sr: 0.0000 0.0000 0.0000 [1 per cell]
P: 0.0000 0.5000 0.5000 [3 per cell]
Se: 0.5000 0.5000 0.5000 [1 per cell]

Values from the calculation:
Calculated volume (Å³ per atom): 22.47
Total DFT energy (no corrections) (eV/atom): -4.39
Formation energy without anion corrections (eV per atom): 0.221